# CaOs PBE-GGA optimized geometry
data_CaOs
_chemical_formula_sum 'Ca2 Os2'
_cell_length_a 4.7440
_cell_length_b 4.7440
_cell_length_c 4.7440
_cell_angle_alpha 60.00
_cell_angle_beta 60.00
_cell_angle_gamma 60.00
_space_group_name_H-M_alt 'P 1'
_space_group_IT_number 1
loop_
_space_group_symop_operation_xyz
'x,y,z'
loop_
_atom_site_label
_atom_site_fract_x
_atom_site_fract_y
_atom_site_fract_z
Ca1 0.2500 0.2500 0.2500
Ca2 0.0000 0.0000 0.0000
Os1 0.7500 0.7500 0.7500
Os2 0.5000 0.5000 0.5000
# total DFT energy (no corrections): -5.978 eV per atom